Si2TcOs | GGA-PBEsol | optimized geometry

CIF file:
```
data_Si2TcOs
_cell_length_a 5.870
_cell_length_b 5.870
_cell_length_c 5.870
_cell_angle_alpha 90.00
_cell_angle_beta 90.00
_cell_angle_gamma 90.00
_symmetry_space_group_name_H-M 'F m -3 m'
_symmetry_Int_Tables_number 225
_symmetry_space_group_name_Hall '-F 4 2 3'
loop_
_atom_site_label
_atom_site_type_symbol
_atom_site_fract_x
_atom_site_fract_y
_atom_site_fract_z
Si1 Si 0.250 0.250 0.250
Tc1 Tc 0.000 0.000 0.000
Os1 Os 0.000 0.000 0.500
```

Its total magnetization is 0.000 μB/cell. The distance to the lowest polymorph of the same formula is 0.000 eV per atom. The value obtained for the total energy is -9.2415 eV per atom. The value obtained for the density of states at the Fermi level is 0.48 states/eV/atom.

CrB3O | GGA-PBEsol | optimized geometry

CIF file:
```
data_CrB3O
_cell_length_a 3.371
_cell_length_b 3.371
_cell_length_c 3.371
_cell_angle_alpha 90.00
_cell_angle_beta 90.00
_cell_angle_gamma 90.00
_symmetry_space_group_name_H-M 'P m -3 m'
_symmetry_Int_Tables_number 221
_symmetry_space_group_name_Hall '-P 4 2 3'
loop_
_atom_site_label
_atom_site_type_symbol
_atom_site_fract_x
_atom_site_fract_y
_atom_site_fract_z
Cr1 Cr 0.000 0.000 0.000
B1 B 0.000 0.500 0.500
O1 O 0.500 0.500 0.500
```

Its total magnetization is 0.457 μB/cell. The distance to the lowest polymorph of the same formula is 0.000 eV per atom. The value obtained for the total energy is -6.1866 eV per atom. The value obtained for the density of states at the Fermi level is 0.60 states/eV/atom.

LaMg2Pd | GGA-PBEsol | optimized geometry

CIF file:
```
data_LaMg2Pd
_cell_length_a 7.020
_cell_length_b 7.020
_cell_length_c 7.020
_cell_angle_alpha 90.00
_cell_angle_beta 90.00
_cell_angle_gamma 90.00
_symmetry_space_group_name_H-M 'F m -3 m'
_symmetry_Int_Tables_number 225
_symmetry_space_group_name_Hall '-F 4 2 3'
loop_
_atom_site_label
_atom_site_type_symbol
_atom_site_fract_x
_atom_site_fract_y
_atom_site_fract_z
La1 La 0.000 0.000 0.000
Mg1 Mg 0.250 0.250 0.250
Pd1 Pd 0.000 0.000 0.500
```

Its calculated formation energy is -0.211 eV per atom. Its total magnetization is 0.001 μB/cell. The value obtained for the total energy is -3.8960 eV per atom. The value obtained for the density of states at the Fermi level is 0.84 states/eV/atom.

La2HgSb | GGA-PBEsol | optimized geometry

CIF file:
```
data_La2HgSb
_cell_length_a 4.495
_cell_length_b 4.562
_cell_length_c 11.798
_cell_angle_alpha 90.00
_cell_angle_beta 90.00
_cell_angle_gamma 90.00
_symmetry_space_group_name_H-M 'A m m 2'
_symmetry_Int_Tables_number 38
loop_
_symmetry_equiv_pos_as_xyz
'x,y,z'
'-x,-y,z'
'-x,y,z'
'x,-y,z'
'x,y+1/2,z+1/2'
'-x,-y+1/2,z+1/2'
'-x,y+1/2,z+1/2'
'x,-y+1/2,z+1/2'
loop_
_atom_site_label
_atom_site_type_symbol
_atom_site_fract_x
_atom_site_fract_y
_atom_site_fract_z
La1 La 0.000 0.000 0.000
La2 La 0.500 0.000 0.275
Hg1 Hg 0.000 0.000 0.731
Sb1 Sb 0.500 0.000 0.553
```

Its total magnetization is 0.004 μB/cell. The distance to the lowest polymorph of the same formula is 0.010 eV per atom. The value obtained for the total energy is -4.7866 eV per atom. The value obtained for the density of states at the Fermi level is 1.36 states/eV/atom.

TeMo2W | GGA-PBEsol | optimized geometry

CIF file:
```
data_TeMo2W
_cell_length_a 3.076
_cell_length_b 4.152
_cell_length_c 5.310
_cell_angle_alpha 90.00
_cell_angle_beta 90.00
_cell_angle_gamma 90.00
_symmetry_space_group_name_H-M 'P m m m'
_symmetry_Int_Tables_number 47
loop_
_symmetry_equiv_pos_as_xyz
'x,y,z'
'-x,-y,-z'
'-x,-y,z'
'x,y,-z'
'x,-y,-z'
'-x,y,z'
'-x,y,-z'
'x,-y,z'
loop_
_atom_site_label
_atom_site_type_symbol
_atom_site_fract_x
_atom_site_fract_y
_atom_site_fract_z
Te1 Te 0.000 0.000 0.000
Mo1 Mo 0.500 0.500 0.273
W1 W 0.000 0.000 0.500
```

Its total magnetization is 0.000 μB/cell. The value obtained for the total energy is -9.7689 eV per atom. The value obtained for the density of states at the Fermi level is 0.72 states/eV/atom.

Zr2PSe | GGA-PBEsol | optimized geometry

CIF file:
```
data_Zr2PSe
_cell_length_a 6.606
_cell_length_b 6.606
_cell_length_c 6.606
_cell_angle_alpha 90.00
_cell_angle_beta 90.00
_cell_angle_gamma 90.00
_symmetry_space_group_name_H-M 'F -4 3 m'
_symmetry_Int_Tables_number 216
_symmetry_space_group_name_Hall 'F -4 2 3'
loop_
_atom_site_label
_atom_site_type_symbol
_atom_site_fract_x
_atom_site_fract_y
_atom_site_fract_z
Zr1 Zr 0.000 0.000 0.000
Zr2 Zr 0.250 0.250 0.250
P1 P 0.250 0.250 0.750
Se1 Se 0.000 0.000 0.500
```

Its total magnetization is 3.617 μB/cell. The distance to the lowest polymorph of the same formula is 1.235 eV per atom. The value obtained for the total energy is -7.1195 eV per atom. The value obtained for the density of states at the Fermi level is 1.06 states/eV/atom.

Na2Mg2Te | GGA-PBEsol | optimized geometry

CIF file:
```
data_Na2Mg2Te
_cell_length_a 7.611
_cell_length_b 7.611
_cell_length_c 5.110
_cell_angle_alpha 90.00
_cell_angle_beta 90.00
_cell_angle_gamma 90.00
_symmetry_space_group_name_H-M 'P 4/m b m'
_symmetry_Int_Tables_number 127
_symmetry_space_group_name_Hall '-P 4 2ab'
loop_
_atom_site_label
_atom_site_type_symbol
_atom_site_fract_x
_atom_site_fract_y
_atom_site_fract_z
Na1 Na 0.165 0.335 0.000
Mg1 Mg 0.134 0.634 0.500
Te1 Te 0.000 0.000 0.500
```

Its total magnetization is 0.001 μB/cell. The value obtained for the total energy is -2.1073 eV per atom. The value obtained for the density of states at the Fermi level is 0.51 states/eV/atom.

Li5Tl3 | GGA-PBEsol | optimized geometry

CIF file:
```
data_Li5Tl3
_cell_length_a 6.798
_cell_length_b 9.404
_cell_length_c 4.712
_cell_angle_alpha 90.00
_cell_angle_beta 90.00
_cell_angle_gamma 90.00
_symmetry_space_group_name_H-M 'C m m m'
_symmetry_Int_Tables_number 65
_symmetry_space_group_name_Hall '-C 2 2'
loop_
_atom_site_label
_atom_site_type_symbol
_atom_site_fract_x
_atom_site_fract_y
_atom_site_fract_z
Li1 Li 0.000 0.000 0.000
Li2 Li 0.232 0.500 0.500
Li3 Li 0.250 0.250 0.000
Tl1 Tl 0.000 0.231 0.500
Tl2 Tl 0.000 0.500 0.000
```

Its calculated formation energy is -0.270 eV per atom. Its total magnetization is 0.000 μB/cell. The value obtained for the total energy is -2.4855 eV per atom. The value obtained for the density of states at the Fermi level is 0.33 states/eV/atom.

Ti2BeWO | GGA-PBEsol | optimized geometry

CIF file:
```
data_Ti2BeWO
_cell_length_a 4.847
_cell_length_b 4.847
_cell_length_c 2.892
_cell_angle_alpha 90.00
_cell_angle_beta 90.00
_cell_angle_gamma 90.00
_symmetry_space_group_name_H-M 'P 4/m m m'
_symmetry_Int_Tables_number 123
_symmetry_space_group_name_Hall '-P 4 2'
loop_
_atom_site_label
_atom_site_type_symbol
_atom_site_fract_x
_atom_site_fract_y
_atom_site_fract_z
Ti1 Ti 0.000 0.500 0.000
Be1 Be 0.000 0.000 0.000
W1 W 0.500 0.500 0.500
O1 O 0.000 0.000 0.500
```

Its total magnetization is 0.001 μB/cell. The value obtained for the total energy is -7.8377 eV per atom. The value obtained for the density of states at the Fermi level is 1.06 states/eV/atom.

Os2RuRh | GGA-PBEsol | optimized geometry

CIF file:
```
data_Os2RuRh
_cell_length_a 2.6852
_cell_length_b 2.6852
_cell_length_c 26.2882
_cell_angle_alpha 90.00
_cell_angle_beta 90.00
_cell_angle_gamma 120.00
_symmetry_space_group_name_H-M 'R -3 m'
_symmetry_Int_Tables_number 166
_symmetry_space_group_name_Hall '-R 3 2"'
loop_
_atom_site_label
_atom_site_type_symbol
_atom_site_fract_x
_atom_site_fract_y
_atom_site_fract_z
Os1 Os 0.0000 0.0000 0.2491
Ru1 Ru 0.0000 0.0000 0.5000
Rh1 Rh 0.0000 0.0000 0.0000
```

Its calculated formation energy is 0.085 eV per atom. Its total magnetization is 0.001 μB/cell. The distance to the lowest polymorph of the same formula is 0.002 eV per atom. The value obtained for the total energy is -10.6002 eV per atom. The value obtained for the density of states at the Fermi level is 0.94 states/eV/atom.